An optimized crystal structure of ZrZnSb2. Source: Alexandria via LeMat-Bulk, functional PBE.

Computed properties:
The value obtained for the energy relative to the elements, uncorrected is -0.165 eV/atom. Its space-group type is P4/mmm. The value obtained for the density of states at the Fermi level is 0.538 states/eV per atom.

The structure in extended XYZ format:
```
4
Lattice="4.837 0.000 0.000 0.000 4.837 0.000 0.000 0.000 3.786" Properties=species:S:1:pos:R:3 pbc="T T T"
Zr 0.000 0.000 0.000
Zn 2.418 2.418 0.000
Sb 0.000 2.418 1.893
Sb 2.418 0.000 1.893
```

An optimized crystal structure of Ni2SI. Source: Alexandria via LeMat-Bulk, functional PBE.

Computed properties:
The energy relative to the lowest polymorph listed for this composition is 0.709 eV per atom. The value obtained for the energy relative to the elements, uncorrected is 0.595 eV/atom. Its space-group type is Fm-3m. The value obtained for the density of states at the Fermi level is 1.087 states/eV per atom.

The structure in extended XYZ format:
```
4
Lattice="0.000 3.173 3.173 3.173 0.000 3.173 3.173 3.173 0.000" Properties=species:S:1:pos:R:3 pbc="T T T"
Ni 1.587 1.587 1.587
Ni 4.760 4.760 4.760
S 0.000 0.000 0.000
I 3.173 3.173 3.173
```

Number 1: magnetization 0.00 μB/cell. Number 2: magnetization 0.00 μB/cell.